# CuReGeMo, relaxed, DFT GGA-PBE
data_CuReGeMo
_chemical_formula_sum 'Cu4 Re4 Ge4 Mo4'
_space_group_name_H-M_alt 'F -4 3 m'
_space_group_IT_number 216
_space_group_name_Hall 'F -4 2 3'
_cell_length_a 6.090
_cell_length_b 6.090
_cell_length_c 6.090
_cell_angle_alpha 90.00
_cell_angle_beta 90.00
_cell_angle_gamma 90.00
loop_
_atom_site_label
_atom_site_type_symbol
_atom_site_fract_x
_atom_site_fract_y
_atom_site_fract_z
_atom_site_occupancy
Cu1 Cu 0.000 0.000 0.000 1
Re1 Re 0.250 0.250 0.250 1
Ge1 Ge 0.000 0.000 0.500 1
Mo1 Mo 0.250 0.250 0.750 1
# Volume (Å³ per atom): 14.11
# Calculated total energy (eV per atom): -7.581